{
  "formula": "SrTeRhN2",
  "functional": "PBE",
  "state": "relaxed",
  "total_energy_ev_per_atom": -3.93,
  "mass_density_g_cm3": 4.03,
  "magmom_total_mub_per_cell": 6.145,
  "dos_ef_per_ev_fu": 9.0,
  "lattice_angstrom": [[4.6108, 0.0000, 0.0000], [0.0000, 4.6108, 0.0000], [0.0000, 0.0000, 6.7119]],
  "species": ["Sr", "Te", "Rh", "N", "N"],
  "frac_coords": [[0.0000, 0.0000, 0.0000], [0.0000, 0.0000, 0.5000], [0.5000, 0.5000, 0.5000], [0.0000, 0.5000, 0.0000], [0.5000, 0.0000, 0.0000]]
}